Record 1
The following is a DFT calculation (PBE-GGA) of a geometry-optimized LiSeO3 structure.

```
5
Lattice="-1.5312 -2.9551 -1.2581 2.8663 -1.8861 0.9417 -1.4491 -0.6082 3.1922" Properties=species:S:1:pos:R:3 pbc="T T T"
O -0.7656 -1.4776 -0.6290
Li 0.0000 0.0000 0.0000
O -0.7245 -0.3041 1.5961
Se -0.0570 -2.7247 1.4379
O 1.4332 -0.9430 0.4709
```

Properties
total moment	1.0	μB/f.u.
calculated volume	45.0	Å³/cell
N(E_F)	2.3	states/eV/cell
E_form (uncorrected)	0.31	eV per atom

***

Record 2
The following is a DFT calculation (PBE-GGA) of a geometry-optimized Zr2TiPt9 structure.

```
12
Lattice="4.0221 0.0000 0.0000 0.0000 4.0221 0.0000 0.0000 0.0000 12.0414" Properties=species:S:1:pos:R:3 pbc="T T T"
Ti 0.0000 0.0000 0.0000
Pt 2.0110 2.0110 8.0641
Pt 0.0000 2.0110 1.9285
Zr 0.0000 0.0000 3.9782
Zr 0.0000 0.0000 8.0633
Pt 2.0110 0.0000 1.9285
Pt 2.0110 0.0000 10.1129
Pt 2.0110 2.0110 3.9773
Pt 2.0110 0.0000 6.0207
Pt 0.0000 2.0110 6.0207
Pt 0.0000 2.0110 10.1129
Pt 2.0110 2.0110 0.0000
```

Properties
total moment	0.0	μB/f.u.
calculated volume	194.8	Å³/cell
N(E_F)	1.7	states/eV/cell
energy of formation from the pure elements	-971	meV/atom

***

Record 3
The following is a DFT calculation (PBE-GGA) of a geometry-optimized PuSn2Pd structure.

```
4
Lattice="-0.2073 -2.3109 -3.8155 -0.4203 -3.8399 2.3485 -4.4963 0.4681 -0.0392" Properties=species:S:1:pos:R:3 pbc="T T T"
Pd -0.1037 -1.1554 -1.9077
Sn -0.2101 -1.9200 1.1743
Sn -2.2481 0.2341 -0.0196
Pu -2.5619 -2.8413 -0.7531
```

Properties
total moment	5.6	μB/f.u.
calculated volume	91.3	Å³/cell
N(E_F)	13.3	states/eV/cell
energy of formation from the pure elements	-367	meV/atom

***

Record 4
The following is a DFT calculation (PBE-GGA) of a geometry-optimized La7Pr3Er structure.

```
11
Lattice="-0.8826 0.1318 -6.0388 -1.6835 -7.9620 3.1448 -7.3720 2.0437 4.1946" Properties=species:S:1:pos:R:3 pbc="T T T"
Pr -2.8718 -5.8717 3.3641
La -2.1021 -1.2234 0.2697
La -4.6814 1.1605 0.7035
La -4.5277 -2.9591 3.6697
Er -4.9690 -2.8932 0.6503
La -5.2566 -6.9470 0.5971
Pr -0.4413 0.0659 -3.0194
La -8.5767 -1.1072 1.2098
Pr -6.1836 -0.0466 3.9753
La -7.8359 -4.5631 1.0309
La -1.3613 -4.6793 0.0908
```

Properties
total moment	0.0	μB/f.u.
calculated volume	408.3	Å³/cell
N(E_F)	17.7	states/eV/cell
energy of formation from the pure elements	206	meV/atom

***

Record 5
The following is a DFT calculation (PBE-GGA) of a geometry-optimized PaBeTeO6 structure.

```
18
Lattice="-3.3313 0.4590 -3.7603 4.3067 -2.5207 -0.7392 -4.3467 -8.2599 2.8425" Properties=species:S:1:pos:R:3 pbc="T T T"
O -1.6633 -9.2983 -0.6676
O -1.2831 -6.1670 1.4594
O -2.3884 -1.5422 -3.5378
O -0.9829 -8.7794 1.8807
O -3.3222 -7.8840 0.9053
Te 0.6740 -3.5925 -1.0356
O -2.0519 -6.6341 -1.0737
Te -4.0453 -6.7292 -0.6214
O -1.3194 -3.6875 -0.5834
O -0.0490 -2.4377 -2.5624
O -3.6788 -2.7498 -1.4665
O -2.0882 -4.1547 -3.1165
O -1.7079 -1.0234 -0.9895
Pa 0.0000 0.0000 0.0000
Pa -2.1734 -4.1300 1.4212
Be -1.8720 -2.5992 -2.0427
O 0.3075 -7.5718 -0.1905
Be -1.4993 -7.7224 0.3856
```

Properties
total moment	0.0	μB/f.u.
calculated volume	215.0	Å³/cell
N(E_F)	10.5	states/eV/cell
E_form (uncorrected)	-2.14	eV per atom

***

Record 6
The following is a DFT calculation (PBE-GGA) of a geometry-optimized TlRe2Hg structure.

```
4
Lattice="2.8560 0.0000 0.0000 0.0000 4.5692 0.0000 0.0000 0.0000 6.1825" Properties=species:S:1:pos:R:3 pbc="T T T"
Tl 1.4280 2.2846 1.5456
Hg 1.4280 2.2846 4.6369
Re 0.0000 0.0000 3.4715
Re 0.0000 0.0000 5.8023
```

Properties
E above lowest polymorph	722	meV per atom
total moment	0.0	μB/f.u.
calculated volume	80.7	Å³/cell
N(E_F)	3.1	states/eV/cell
energy of formation from the pure elements	1170	meV/atom

***

Record 7
The following is a DFT calculation (PBE-GGA) of a geometry-optimized NaTc2PdRu structure.

```
5
Lattice="4.6270 0.0000 0.0000 0.0000 4.6270 0.0000 0.0000 0.0000 5.0520" Properties=species:S:1:pos:R:3 pbc="T T T"
Tc 2.3135 0.0000 0.0000
Ru 0.0000 0.0000 0.0000
Tc 0.0000 2.3135 0.0000
Na 0.0000 0.0000 2.5260
Pd 2.3135 2.3135 2.5260
```

Properties
total moment	3.7	μB/f.u.
calculated volume	108.2	Å³/cell
N(E_F)	3.9	states/eV/cell
energy of formation from the pure elements	1531	meV/atom

***

Record 8
The following is a DFT calculation (PBE-GGA) of a geometry-optimized Na3PuO6 structure.

```
20
Lattice="-2.9205 0.1261 -4.5111 -5.0145 -1.5856 3.2244 -1.7218 8.2601 1.3791" Properties=species:S:1:pos:R:3 pbc="T T T"
O -5.8137 -1.2249 1.1021
O -7.8878 6.9983 -0.5583
Na -3.9675 -0.7297 -0.6434
O -1.6853 6.3494 1.0447
O -5.3327 5.1615 0.6846
O -1.7690 -0.1976 0.6507
O -3.8432 8.0256 -1.0098
O -6.5164 3.4833 -1.5087
Na -2.2376 2.2006 -1.8169
O -6.0388 2.6538 1.2983
O -3.6181 4.1468 -1.2059
O -3.1405 3.3174 1.6010
Pu -4.8284 3.4003 0.0462
Na -0.8609 4.1301 0.6895
Na -3.6369 5.6372 2.4163
Na -7.4192 4.6001 1.9093
Na -6.0200 1.1635 -2.3240
Pu 0.0000 0.0000 0.0000
O -4.3242 1.6392 -0.5923
O -7.9716 0.4513 -0.9523
```

Properties
total moment	0.9	μB/f.u.
calculated volume	283.5	Å³/cell
E_form (uncorrected)	-1.85	eV per atom

***

Among the records above, which one has the lowest calculated volume? LiSeO3

***

Which value of total moment does entry 6 give? 0.0 μB/f.u.

***

Repeat the second record exactly.
The following is a DFT calculation (PBE-GGA) of a geometry-optimized Zr2TiPt9 structure.

```
12
Lattice="4.0221 0.0000 0.0000 0.0000 4.0221 0.0000 0.0000 0.0000 12.0414" Properties=species:S:1:pos:R:3 pbc="T T T"
Ti 0.0000 0.0000 0.0000
Pt 2.0110 2.0110 8.0641
Pt 0.0000 2.0110 1.9285
Zr 0.0000 0.0000 3.9782
Zr 0.0000 0.0000 8.0633
Pt 2.0110 0.0000 1.9285
Pt 2.0110 0.0000 10.1129
Pt 2.0110 2.0110 3.9773
Pt 2.0110 0.0000 6.0207
Pt 0.0000 2.0110 6.0207
Pt 0.0000 2.0110 10.1129
Pt 2.0110 2.0110 0.0000
```

Properties
total moment	0.0	μB/f.u.
calculated volume	194.8	Å³/cell
N(E_F)	1.7	states/eV/cell
energy of formation from the pure elements	-971	meV/atom